Entry 1:
Material: FeAg3O
Method: DFT, PBE with a Hubbard U
State: optimized geometry

CIF file:
```
data_FeAg3O
_cell_length_a 4.4694
_cell_length_b 4.4694
_cell_length_c 4.4694
_cell_angle_alpha 90.00
_cell_angle_beta 90.00
_cell_angle_gamma 90.00
_space_group_name_H-M_alt 'P m -3 m'
_space_group_IT_number 221
_space_group_name_Hall '-P 4 2 3'
loop_
_atom_site_label
_atom_site_type_symbol
_atom_site_fract_x
_atom_site_fract_y
_atom_site_fract_z
Fe1 Fe 0.0000 0.0000 0.0000
Ag1 Ag 0.0000 0.5000 0.5000
O1 O 0.5000 0.5000 0.5000
```

Values from the calculation:
Distance to the lowest polymorph of the same formula, kJ/mol of formula units: 0
DFT total energy, eV for the cell shown: -16.09

Entry 2:
Material: Fe2AgO2
Method: DFT, PBE with a Hubbard U
State: optimized geometry

CIF file:
```
data_Fe2AgO2
_cell_length_a 3.9402
_cell_length_b 3.9402
_cell_length_c 10.0471
_cell_angle_alpha 90.00
_cell_angle_beta 90.00
_cell_angle_gamma 90.00
_space_group_name_H-M_alt 'I 4/m m m'
_space_group_IT_number 139
_space_group_name_Hall '-I 4 2'
loop_
_atom_site_label
_atom_site_type_symbol
_atom_site_fract_x
_atom_site_fract_y
_atom_site_fract_z
Fe1 Fe 0.0000 0.0000 0.1924
Ag1 Ag 0.0000 0.0000 0.5000
O1 O 0.0000 0.5000 0.2500
```

Values from the calculation:
Distance to the lowest polymorph of the same formula, kJ/mol of formula units: 0
DFT total energy, eV for the cell shown: -54.31

Entry 3:
Material: FeAgO2
Method: DFT, PBE with a Hubbard U
State: optimized geometry

CIF file:
```
data_FeAgO2
_cell_length_a 5.0792
_cell_length_b 5.0792
_cell_length_c 9.0403
_cell_angle_alpha 90.00
_cell_angle_beta 90.00
_cell_angle_gamma 90.00
_space_group_name_H-M_alt 'I -4 2 d'
_space_group_IT_number 122
_space_group_name_Hall 'I -4 2bw'
loop_
_atom_site_label
_atom_site_type_symbol
_atom_site_fract_x
_atom_site_fract_y
_atom_site_fract_z
Fe1 Fe 0.0000 0.0000 0.0000
Ag1 Ag 0.0000 0.0000 0.5000
O1 O 0.1727 0.2500 0.1250
```

Values from the calculation:
DFT total energy, eV for the cell shown: -87.33

Entry 4:
Material: FeAg3O
Method: DFT, PBE with a Hubbard U
State: optimized geometry

CIF file:
```
data_FeAg3O
_cell_length_a 4.8496
_cell_length_b 4.8496
_cell_length_c 4.8496
_cell_angle_alpha 90.00
_cell_angle_beta 90.00
_cell_angle_gamma 90.00
_space_group_name_H-M_alt 'P m -3 m'
_space_group_IT_number 221
_space_group_name_Hall '-P 4 2 3'
loop_
_atom_site_label
_atom_site_type_symbol
_atom_site_fract_x
_atom_site_fract_y
_atom_site_fract_z
Fe1 Fe 0.0000 0.0000 0.0000
Ag1 Ag 0.0000 0.0000 0.5000
O1 O 0.5000 0.5000 0.5000
```

Values from the calculation:
Distance to the lowest polymorph of the same formula, kJ/mol of formula units: 454
DFT total energy, eV for the cell shown: -11.39

Question: Number 4 is which compound?
Answer: FeAg3O

Question: Which value of DFT total energy does entry 2 give?
Answer: -54.31 eV for the cell shown